No. 1
## LuBSb (GGA-PBE)

Data for a relaxed LuBSb crystal.

Structure (POSCAR):
```
LuBSb
1.0
0.000 3.303 3.303
3.303 0.000 3.303
3.303 3.303 0.000
Lu B Sb
1 1 1
Direct
0.000 0.000 0.000 Lu
0.750 0.750 0.750 B
0.250 0.250 0.250 Sb
```

Calculated values
Excess energy over the best structure of this formula in the dataset ... 384 meV/atom
SG ... F-43m
Total magnetization ... 0.0 μB per cell
Calculated total energy ... -13.27 eV/cell

No. 2
## NdPIrO (GGA-PBE)

Data for a relaxed NdPIrO crystal.

Structure (POSCAR):
```
NdPIrO
1.0
3.365 0.000 0.000
0.000 7.650 0.000
0.000 0.000 5.294
Nd P Ir O
2 2 2 2
Direct
0.000 0.165 0.000 Nd
0.000 0.835 0.500 Nd
0.000 0.437 0.495 P
0.000 0.563 0.995 P
0.500 0.245 0.499 Ir
0.500 0.755 0.999 Ir
0.500 0.003 0.748 O
0.500 0.997 0.248 O
```

Calculated values
Excess energy over the best structure of this formula in the dataset ... 662 meV/atom
SG ... Pmc2_1
Total magnetization ... 0.0 μB per cell
Calculated total energy ... -58.03 eV/cell